Entry 1:
10
Lattice="-4.967 2.963 -2.143 -6.488 -3.372 1.500 -2.935 4.943 4.761" Properties=species:S:1:pos:R:3 comment="La5RuSe4 (GGA-PBE, relaxed)" e_form_raw_ev_per_atom=-1.6229 n_ef_per_ev_atom=1.04 volume_a3_per_atom=28.50 pbc="T T T"
Se -6.921 3.763 3.475
La -2.488 1.484 -1.073
La -8.522 1.178 3.611
La -5.878 3.362 0.502
Se -10.883 2.706 2.322
Se -3.516 1.834 1.791
La -5.084 -0.922 1.614
Ru -0.006 0.003 -0.002
La -9.316 5.462 2.500
Se -7.479 0.777 0.639

---

Entry 2:
5
Lattice="-3.983 -2.404 2.019 2.693 -0.940 4.194 -1.602 4.333 2.000" Properties=species:S:1:pos:R:3 comment="LiCaMg2Zn (GGA-PBE, relaxed)" n_ef_per_ev_atom=0.56 volume_a3_per_atom=25.90 ef_ev_per_atom=0.037 pbc="T T T"
Mg 1.347 -0.470 2.097
Zn 0.000 0.000 0.000
Mg -1.992 -1.202 1.009
Li -0.801 2.167 1.000
Ca -1.446 0.494 4.106

---

Entry 3:
5
Lattice="-1.435 5.299 -0.823 -4.311 -0.701 2.999 2.891 1.482 4.502" Properties=species:S:1:pos:R:3 comment="KNaHgSe2 (GGA-PBE, relaxed)" e_form_raw_ev_per_atom=-0.3631 n_ef_per_ev_atom=0.54 volume_a3_per_atom=32.66 pbc="T T T"
K -1.428 3.040 3.339
Se 1.445 0.741 2.251
Na -2.156 -0.351 1.500
Se -0.717 2.650 -0.412
Hg 0.000 0.000 0.000

---

Entry 4:
4
Lattice="-0.114 1.824 2.935 2.350 -0.559 2.474 4.292 4.560 -0.630" Properties=species:S:1:pos:R:3 comment="Ho2CO (GGA-PBE, relaxed)" relative_energy_mev_per_atom=168 e_form_raw_ev_per_atom=-1.5914 n_ef_per_ev_atom=0.02 volume_a3_per_atom=15.45 pbc="T T T"
Ho 1.535 1.343 1.262
O 3.333 2.994 2.342
C 5.779 5.399 2.979
Ho 3.436 3.561 -0.043

---

Entry 5:
68
Lattice="6.148 0.094 0.000 -2.935 8.200 0.000 0.000 0.000 11.325" Properties=species:S:1:pos:R:3 comment="CaB3H5O8 (GGA-PBE, relaxed)" relative_energy_mev_per_atom=2 n_ef_per_ev_atom=0.00 volume_a3_per_atom=8.44 pbc="T T T"
B 4.026 2.338 5.048
H 4.806 1.745 6.875
H 2.993 4.290 0.308
O 3.360 7.558 9.569
B 0.690 4.390 7.567
O 3.518 6.833 2.629
B -0.871 2.694 8.936
B -0.814 5.955 6.277
B 0.735 6.840 8.051
B 4.083 5.600 2.389
O 1.116 0.952 5.843
H 1.041 4.848 4.815
Ca 1.151 7.165 3.357
O 2.330 1.485 10.398
H -2.371 7.498 10.477
O 1.912 2.686 3.034
O 0.130 4.819 6.280
O 4.093 2.891 9.652
O 1.754 3.411 7.418
H 0.264 5.799 10.112
O -0.761 6.636 4.953
O -0.148 0.736 1.756
O 3.973 1.658 6.372
O 3.936 5.632 6.589
H 2.171 3.445 6.510
B -2.019 7.957 1.904
H 3.664 4.854 6.026
O 0.882 6.809 0.926
H 2.058 0.707 10.961
H 2.948 2.495 1.213
O -0.568 5.711 10.615
H 1.154 7.586 0.364
H 1.151 2.671 10.979
H 2.062 5.622 0.346
O 2.013 0.263 2.775
H -1.594 6.548 4.450
O -0.407 3.884 8.437
H 0.219 4.003 11.017
O 3.780 2.583 0.710
O 1.458 4.882 3.906
O -0.306 1.460 8.696
O 1.300 5.607 8.291
B 2.477 1.453 3.274
O 2.722 5.099 11.144
H 0.456 1.476 5.317
Ca 3.668 5.275 9.019
O 1.199 8.031 8.550
O -0.724 2.662 4.736
H 1.825 8.150 5.970
H 1.387 0.143 5.354
O 3.619 4.410 2.888
B -0.516 6.391 0.615
Ca -0.456 3.019 2.306
O 0.490 3.194 0.181
O 4.671 0.766 10.707
B 5.231 0.337 9.420
O 3.082 3.474 5.044
Ca 2.062 1.128 7.968
H 5.583 0.795 0.848
B 2.522 3.904 3.758
H 2.757 6.818 6.008
H -0.452 3.439 5.298
O -1.459 7.527 0.618
O 2.097 7.341 5.481
O 3.661 1.349 3.989
O -0.449 6.944 7.335
O -0.881 5.402 1.673
B 3.728 1.902 10.710

---

Entry 6:
5
Lattice="4.707 0.000 0.000 0.000 4.707 0.000 0.000 0.000 4.951" Properties=species:S:1:pos:R:3 comment="TaAs2IrSe (GGA-PBE, relaxed)" e_form_raw_ev_per_atom=1.0369 n_ef_per_ev_atom=1.29 volume_a3_per_atom=21.94 pbc="T T T"
As 2.353 0.000 0.000
Ta 2.353 2.353 2.476
Ir 0.000 0.000 0.000
Se 0.000 0.000 2.476
As 0.000 2.353 0.000

---

Entry 7:
11
Lattice="4.405 0.000 1.537 0.000 6.893 0.000 -0.099 0.000 7.365" Properties=species:S:1:pos:R:3 comment="Cd6Ag5 (GGA-PBE, relaxed)" n_ef_per_ev_atom=0.35 volume_a3_per_atom=20.43 ef_ev_per_atom=-0.030 pbc="T T T"
Cd 0.616 1.656 5.317
Cd 3.691 1.656 3.585
Ag 0.000 3.446 0.000
Ag 2.911 0.000 5.819
Cd 2.104 5.327 8.133
Ag 1.430 3.447 2.984
Cd 2.203 1.566 0.769
Ag 1.395 0.000 3.083
Ag 2.877 3.447 5.918
Cd 3.691 5.237 3.585
Cd 0.616 5.237 5.317

---

Entry 8:
4
Lattice="-1.853 8.041 4.708 -4.177 7.913 3.192 -4.013 6.541 5.601" Properties=species:S:1:pos:R:3 comment="CdFeMo2 (GGA-PBE, relaxed)" n_ef_per_ev_atom=0.97 volume_a3_per_atom=15.64 ef_ev_per_atom=0.400 pbc="T T T"
Mo -4.922 11.025 6.617
Mo -0.099 0.223 0.134
Fe -7.532 16.871 10.125
Cd -2.511 5.624 3.375

---

> Which formula does entry 8 have?

CdFeMo2

---

> What is the formula in the first record?

La5RuSe4